Density functional theory data (SCAN) for a PBEsol-optimized structure of Zr2CoAs.

Cell: 6.391 6.391 6.391 Å, 90.00 90.00 90.00°
Space group F-43m (No. 216)
Unique sites:
Zr (0.000, 0.000, 0.000)
Zr (0.250, 0.250, 0.250)
Co (0.250, 0.250, 0.750)
As (0.000, 0.000, 0.500)

Computed properties:
Mass density = 8.047 g/cm3
E = -24.619 eV per atom
DOS at the Fermi energy = 9.6 states/eV per cell
Crystal system = cubic
Total magnetic moment = 0.60 μB/atom
Formation enthalpy at 0 K = 0.10 eV/atom

Density functional theory data (SCAN) for a PBEsol-optimized structure of LiZr2InI.

Cell: 5.424 5.424 4.635 Å, 90.00 90.00 90.00°
Space group P4/mmm (No. 123)
Unique sites:
Li (0.000, 0.000, 0.000)
Zr (0.000, 0.500, 0.500)
In (0.000, 0.000, 0.500)
I (0.500, 0.500, 0.000)

Computed properties:
Mass density = 5.250 g/cm3
E = -26.236 eV per atom
DOS at the Fermi energy = 3.8 states/eV per cell
Crystal system = tetragonal
Total magnetic moment = 0.61 μB/atom
ΔE_f (raw) = 0.55 eV per atom

Density functional theory data (SCAN) for a PBEsol-optimized structure of BeReAu2.

Cell: 2.749 4.507 9.108 Å, 90.00 90.00 90.00°
Space group Immm (No. 71)
Unique sites:
Be (0.000, 0.000, 0.000)
Re (0.000, 0.000, 0.500)
Au (0.000, 0.500, 0.291)

Computed properties:
Mass density = 17.338 g/cm3
E = -53.085 eV per atom
DOS at the Fermi energy = 5.0 states/eV per cell
Crystal system = orthorhombic
Total magnetic moment = 0.00 μB/atom
Formation enthalpy at 0 K = 0.36 eV/atom

Density functional theory data (SCAN) for a PBEsol-optimized structure of Y7Sc.

Cell: 9.809 9.809 9.809 Å, 90.00 90.00 90.00°
Space group Fm-3m (No. 225)
Unique sites:
Y (0.000, 0.000, 0.000)
Y (0.000, 0.250, 0.250)
Sc (0.000, 0.000, 0.500)

Computed properties:
Mass density = 4.696 g/cm3
E = -26.066 eV per atom
DOS at the Fermi energy = 47.6 states/eV per cell
Crystal system = cubic
Total magnetic moment = 0.00 μB/atom
Formation enthalpy at 0 K = 0.08 eV/atom

- The highest mass density belongs to which entry?
  BeReAu2